(1)
Computed, not measured: an optimized crystal structure of CaZn2Au9 at the PBE level of DFT.

Summary:
SG = I4_1/amd
Calculated formation energy = -0.263 eV/atom

```
CaZn2Au9
1.0
-2.350 -4.752 4.850
-1.100 -8.115 -3.161
6.394 -4.152 4.351
Ca Zn Au
2 4 18
Direct
0.500 0.000 0.000
0.250 0.500 0.500
0.875 0.250 0.750
0.875 0.750 0.250
0.875 0.250 0.250
0.375 0.750 0.750
0.750 0.500 0.500
0.000 0.000 0.000
0.999 0.924 0.682
0.605 0.076 0.318
0.673 0.182 0.576
0.431 0.818 0.424
0.751 0.818 0.576
0.145 0.182 0.424
0.077 0.924 0.318
0.319 0.076 0.682
0.751 0.576 0.818
0.145 0.424 0.182
0.077 0.318 0.924
0.319 0.682 0.076
0.999 0.682 0.924
0.605 0.318 0.076
0.673 0.576 0.182
0.431 0.424 0.818
```

***

(2)
Computed, not measured: an optimized crystal structure of ZrS4 at the PBE level of DFT.

Summary:
SG = Pm-3m
Final energy = -4.951 eV/atom

```
ZrS4
1.0
5.029 0.000 0.000
0.000 5.029 0.000
0.000 0.000 5.029
S Zr
4 1
Direct
0.000 0.000 0.000
0.500 0.000 0.500
0.000 0.500 0.500
0.500 0.500 0.000
0.500 0.500 0.500
```

***

(3)
Computed, not measured: an optimized crystal structure of TlTe2As at the PBE level of DFT.

Summary:
SG = Immm
Final energy = -3.270 eV/atom

```
TlTe2As
1.0
-1.684 -6.011 0.536
3.115 -3.674 -4.006
0.668 3.939 4.826
Tl Te As
1 2 1
Direct
0.750 0.250 0.500
0.050 0.050 0.000
0.450 0.450 0.000
0.250 0.750 0.500
```

***

(4)
Computed, not measured: an optimized crystal structure of Pd3RhW at the PBE level of DFT.

Summary:
SG = Pm-3m
Calculated formation energy = 1.950 eV/atom

```
Pd3RhW
1.0
-3.651 2.268 -1.849
-2.806 -3.553 1.182
-0.831 2.031 4.133
Rh Pd W
1 3 1
Direct
0.000 0.000 0.000
0.000 0.500 0.000
0.000 0.000 0.500
0.500 0.000 0.000
0.500 0.500 0.500
```

***

(5)
Computed, not measured: an optimized crystal structure of Lu4B6O15 at the PBE level of DFT.

Summary:
SG = R3
Final energy = -8.216 eV/atom

```
Lu4B6O15
1.0
-6.031 -0.187 -5.321
2.892 -7.335 1.595
-1.950 4.032 6.683
Lu B O
4 6 15
Direct
0.106 0.804 0.279
0.804 0.279 0.106
0.993 0.993 0.993
0.279 0.106 0.804
0.267 0.497 0.195
0.505 0.845 0.605
0.845 0.605 0.505
0.497 0.195 0.267
0.195 0.267 0.497
0.605 0.505 0.845
0.815 0.712 0.982
0.083 0.502 0.120
0.352 0.889 0.593
0.468 0.681 0.416
0.247 0.311 0.053
0.889 0.593 0.352
0.982 0.815 0.712
0.502 0.120 0.083
0.053 0.247 0.311
0.681 0.416 0.468
0.416 0.468 0.681
0.311 0.053 0.247
0.120 0.083 0.502
0.593 0.352 0.889
0.712 0.982 0.815
```

***

(6)
Computed, not measured: an optimized crystal structure of Pm4Er2Sc at the PBE level of DFT.

Summary:
SG = Imma
Calculated formation energy = 0.250 eV/atom

```
Pm4Er2Sc
1.0
-3.953 1.642 -5.234
3.363 -2.709 -7.758
-5.747 -6.450 -2.051
Pm Er Sc
8 4 2
Direct
0.154 0.355 0.337
0.154 0.837 0.855
0.229 0.244 0.744
0.784 0.244 0.744
0.216 0.756 0.256
0.846 0.163 0.145
0.771 0.756 0.256
0.846 0.645 0.663
0.282 0.968 0.468
0.500 0.000 0.000
0.500 0.500 0.500
0.718 0.032 0.532
0.000 0.500 0.000
0.500 0.500 0.000
```

***

(7)
Computed, not measured: an optimized crystal structure of TiNbMo2Os at the PBE level of DFT.

Summary:
SG = P4/mmm
Calculated formation energy = 1.273 eV/atom

```
TiNbMo2Os
1.0
-1.854 0.204 4.093
3.240 -2.747 1.604
2.548 3.576 0.976
Mo Os Nb Ti
2 1 1 1
Direct
0.000 0.000 0.500
0.500 0.000 0.000
0.000 0.500 0.000
0.500 0.500 0.500
0.000 0.000 0.000
```

***

(8)
Computed, not measured: an optimized crystal structure of La8OsPd2Ru at the PBE level of DFT.

Summary:
SG = P2/m
Calculated formation energy = -0.356 eV/atom

```
La8OsPd2Ru
1.0
-0.561 -2.326 6.395
0.802 -6.375 -2.445
8.497 0.688 0.995
La Os Pd Ru
8 1 2 1
Direct
0.158 0.776 0.250
0.662 0.754 0.000
0.842 0.224 0.250
0.842 0.224 0.750
0.338 0.246 0.000
0.158 0.776 0.750
0.663 0.756 0.500
0.337 0.244 0.500
0.000 0.000 0.000
0.500 0.500 0.749
0.500 0.500 0.251
0.000 0.000 0.500
```

***

Number 1: total magnetization 0.00 μB/atom. Number 2: total magnetization 0.67 μB/atom. Number 3: total magnetization 0.00 μB/atom. Number 4: total magnetization 0.00 μB/atom. Number 5: total magnetization 0.00 μB/atom. Number 6: total magnetization 0.00 μB/atom. Number 7: total magnetization 0.00 μB/atom. Number 8: total magnetization 0.00 μB/atom.